[1]
# PBE-GGA ScRe3Tc, optimized geometry
data_ScRe3Tc
_chemical_formula_sum 'Sc1 Re3 Tc1'
_cell_length_a 4.672
_cell_length_b 4.672
_cell_length_c 4.672
_cell_angle_alpha 90.00
_cell_angle_beta 90.00
_cell_angle_gamma 90.00
_space_group_name_H-M_alt 'P 1'
_space_group_IT_number 1
loop_
_space_group_symop_operation_xyz
'x,y,z'
loop_
_atom_site_label
_atom_site_type_symbol
_atom_site_fract_x
_atom_site_fract_y
_atom_site_fract_z
_atom_site_occupancy
Sc1 Sc 0.500 0.500 0.500 1
Re1 Re 0.000 0.500 0.000 1
Re2 Re 0.000 0.000 0.500 1
Re3 Re 0.500 0.000 0.000 1
Tc1 Tc 0.000 0.000 0.000 1
# - theoretical density (kg/m3) = 11422
# - N(E_F) (states/eV/f.u.) = 3.6
# - excess energy over the best structure of this formula in the dataset (eV per formula unit) = 0.00

=====

[2]
# PBE-GGA Y5Te5N, optimized geometry
data_Y5Te5N
_chemical_formula_sum 'Y5 Te5 N1'
_cell_length_a 6.021
_cell_length_b 7.259
_cell_length_c 8.374
_cell_angle_alpha 107.60
_cell_angle_beta 90.00
_cell_angle_gamma 114.50
_space_group_name_H-M_alt 'P 1'
_space_group_IT_number 1
loop_
_space_group_symop_operation_xyz
'x,y,z'
loop_
_atom_site_label
_atom_site_type_symbol
_atom_site_fract_x
_atom_site_fract_y
_atom_site_fract_z
_atom_site_occupancy
Y1 Y 0.852 0.705 0.138 1
Y2 Y 0.864 0.727 0.724 1
Y3 Y 0.500 0.000 0.000 1
Y4 Y 0.136 0.273 0.276 1
Y5 Y 0.148 0.295 0.862 1
Te1 Te 0.678 0.356 0.337 1
Te2 Te 0.657 0.315 0.808 1
Te3 Te 0.000 0.000 0.500 1
Te4 Te 0.343 0.685 0.192 1
Te5 Te 0.322 0.644 0.663 1
N1 N 0.000 0.000 0.000 1
# - formation energy without anion corrections (meV/atom) = -1317
# - theoretical density (kg/m3) = 5797
# - N(E_F) (states/eV/f.u.) = 4.8

=====

[3]
# PBE-GGA Ca2SiPd, optimized geometry
data_Ca2SiPd
_chemical_formula_sum 'Ca2 Si1 Pd1'
_cell_length_a 4.319
_cell_length_b 4.555
_cell_length_c 5.557
_cell_angle_alpha 114.19
_cell_angle_beta 90.00
_cell_angle_gamma 90.00
_space_group_name_H-M_alt 'P 1'
_space_group_IT_number 1
loop_
_space_group_symop_operation_xyz
'x,y,z'
loop_
_atom_site_label
_atom_site_type_symbol
_atom_site_fract_x
_atom_site_fract_y
_atom_site_fract_z
_atom_site_occupancy
Ca1 Ca 0.000 0.980 0.959 1
Ca2 Ca 0.500 0.269 0.537 1
Si1 Si 0.500 0.573 0.146 1
Pd1 Pd 0.000 0.678 0.356 1
# - formation energy without anion corrections (meV/atom) = -625
# - theoretical density (kg/m3) = 3575
# - N(E_F) (states/eV/f.u.) = 1.8

=====

[4]
# PBE-GGA LiTl2PI, optimized geometry
data_LiTl2PI
_chemical_formula_sum 'Li1 Tl2 P1 I1'
_cell_length_a 5.650
_cell_length_b 4.878
_cell_length_c 5.650
_cell_angle_alpha 90.00
_cell_angle_beta 90.00
_cell_angle_gamma 90.00
_space_group_name_H-M_alt 'P 1'
_space_group_IT_number 1
loop_
_space_group_symop_operation_xyz
'x,y,z'
loop_
_atom_site_label
_atom_site_type_symbol
_atom_site_fract_x
_atom_site_fract_y
_atom_site_fract_z
_atom_site_occupancy
I1 I 0.000 0.500 0.000 1
P1 P 0.500 0.500 0.500 1
Tl1 Tl 0.000 0.000 0.500 1
Tl2 Tl 0.500 0.000 0.000 1
Li1 Li 0.000 0.000 0.000 1
# - formation energy without anion corrections (meV/atom) = 325
# - theoretical density (kg/m3) = 6117
# - N(E_F) (states/eV/f.u.) = 3.1

=====

[5]
# PBE-GGA ErNp2US4, optimized geometry
data_ErNp2US4
_chemical_formula_sum 'Er1 Np2 U1 S4'
_cell_length_a 3.860
_cell_length_b 6.731
_cell_length_c 6.721
_cell_angle_alpha 109.23
_cell_angle_beta 90.00
_cell_angle_gamma 90.00
_space_group_name_H-M_alt 'P 1'
_space_group_IT_number 1
loop_
_space_group_symop_operation_xyz
'x,y,z'
loop_
_atom_site_label
_atom_site_type_symbol
_atom_site_fract_x
_atom_site_fract_y
_atom_site_fract_z
_atom_site_occupancy
Er1 Er 0.500 0.500 0.000 1
Np1 Np 0.500 0.000 0.500 1
Np2 Np 0.000 0.500 0.500 1
U1 U 0.000 0.000 0.000 1
S1 S 0.500 0.251 0.248 1
S2 S 0.500 0.749 0.752 1
S3 S 0.000 0.252 0.753 1
S4 S 0.000 0.748 0.247 1
# - formation energy without anion corrections (meV/atom) = -1512
# - theoretical density (kg/m3) = 10148
# - N(E_F) (states/eV/f.u.) = 20.4

=====

[6]
# PBE-GGA ZrPb2Au2, optimized geometry
data_ZrPb2Au2
_chemical_formula_sum 'Zr2 Pb4 Au4'
_cell_length_a 7.438
_cell_length_b 7.438
_cell_length_c 4.352
_cell_angle_alpha 90.00
_cell_angle_beta 90.00
_cell_angle_gamma 90.00
_space_group_name_H-M_alt 'P 1'
_space_group_IT_number 1
loop_
_space_group_symop_operation_xyz
'x,y,z'
loop_
_atom_site_label
_atom_site_type_symbol
_atom_site_fract_x
_atom_site_fract_y
_atom_site_fract_z
_atom_site_occupancy
Pb1 Pb 0.179 0.679 0.500 1
Pb2 Pb 0.679 0.821 0.500 1
Pb3 Pb 0.821 0.321 0.500 1
Pb4 Pb 0.321 0.179 0.500 1
Au1 Au 0.368 0.868 0.000 1
Au2 Au 0.868 0.632 0.000 1
Au3 Au 0.632 0.132 0.000 1
Au4 Au 0.132 0.368 0.000 1
Zr1 Zr 0.000 0.000 0.000 1
Zr2 Zr 0.500 0.500 0.000 1
# - theoretical density (kg/m3) = 12410
# - N(E_F) (states/eV/f.u.) = 1.7
# - excess energy over the best structure of this formula in the dataset (eV per formula unit) = 0.00

=====

[7]
# PBE-GGA Ce2TcPt, optimized geometry
data_Ce2TcPt
_chemical_formula_sum 'Ce2 Tc1 Pt1'
_cell_length_a 3.461
_cell_length_b 3.461
_cell_length_c 7.196
_cell_angle_alpha 90.00
_cell_angle_beta 90.00
_cell_angle_gamma 90.00
_space_group_name_H-M_alt 'P 1'
_space_group_IT_number 1
loop_
_space_group_symop_operation_xyz
'x,y,z'
loop_
_atom_site_label
_atom_site_type_symbol
_atom_site_fract_x
_atom_site_fract_y
_atom_site_fract_z
_atom_site_occupancy
Ce1 Ce 0.000 0.000 0.759 1
Ce2 Ce 0.000 0.000 0.241 1
Pt1 Pt 0.500 0.500 0.500 1
Tc1 Tc 0.500 0.500 0.000 1
# - E_tot (eV per atom) = -7.5678
# - theoretical density (kg/m3) = 11043
# - N(E_F) (states/eV/f.u.) = 6.8

=====

[8]
# PBE-GGA Tl2CoBr, optimized geometry
data_Tl2CoBr
_chemical_formula_sum 'Tl2 Co1 Br1'
_cell_length_a 6.764
_cell_length_b 6.764
_cell_length_c 6.764
_cell_angle_alpha 142.91
_cell_angle_beta 142.91
_cell_angle_gamma 53.46
_space_group_name_H-M_alt 'P 1'
_space_group_IT_number 1
loop_
_space_group_symop_operation_xyz
'x,y,z'
loop_
_atom_site_label
_atom_site_type_symbol
_atom_site_fract_x
_atom_site_fract_y
_atom_site_fract_z
_atom_site_occupancy
Br1 Br 0.500 0.500 0.000 1
Co1 Co 0.750 0.250 0.500 1
Tl1 Tl 0.000 0.000 0.000 1
Tl2 Tl 0.250 0.750 0.500 1
# - formation energy without anion corrections (meV/atom) = 402
# - theoretical density (kg/m3) = 8132
# - N(E_F) (states/eV/f.u.) = 1.0
# - excess energy over the best structure of this formula in the dataset (eV per formula unit) = 1.07